Density functional theory data (PBE-GGA) for a relaxed Dy7SbS5 crystal.

The calculation puts the total moment at 0.0000 μB per atom. The calculation puts the volume at 22.9 A^3/atom. For the energy relative to the elements, uncorrected, the calculation gives -1.718 eV/atom.

The space group is Cmcm (No. 63) and the conventional cell measures 3.9686, 12.8360 and 23.4165 Å, with angles of 90.00, 90.00 and 90.00 degrees. The distinct sites, in fractional coordinates, are Dy at (0.0000, 0.0176, 0.2500), Dy at (0.0000, 0.1372, 0.5368), Dy at (0.0000, 0.3210, 0.1732), Dy at (0.0000, 0.4070, 0.6123), Sb at (0.0000, 0.3032, 0.7500), S at (0.0000, 0.0453, 0.6403), S at (0.0000, 0.2250, 0.0700) and S at (0.0000, 0.5000, 0.0000).